# 1
CuPbCl2 | PBE-GGA | optimized geometry

Computed properties:
- ΔE_f (raw) (eV per atom) = -0.19
- calculated total energy (eV/atom) = -3.064

abc: 5.058 5.058 5.058
angles: 60.00 60.00 60.00
Positions (direct):
1 Cl 0.250 0.250 0.250
2 Cl 0.750 0.750 0.750
3 Cu 0.000 0.000 0.000
4 Pb 0.500 0.500 0.500

# 2
HfBeSi2Ni4 | PBE-GGA | optimized geometry

Computed properties:
- ΔE_f (raw) (eV per atom) = -0.60
- calculated total energy (eV/atom) = -6.553

abc: 3.863 3.863 7.753
angles: 75.57 75.57 60.00
Positions (direct):
1 Ni 0.134 0.134 0.597
2 Ni 0.866 0.866 0.403
3 Ni 0.403 0.403 0.790
4 Ni 0.597 0.597 0.210
5 Be 0.500 0.500 0.500
6 Si 0.244 0.244 0.268
7 Si 0.756 0.756 0.732
8 Hf 0.000 0.000 0.000

# 3
PmTeSe2O | PBE-GGA | optimized geometry

Computed properties:
- ΔE_f (raw) (eV per atom) = -1.52
- calculated total energy (eV/atom) = -5.482

abc: 4.108 4.108 13.914
angles: 90.00 90.00 90.00
Positions (direct):
1 Se 0.500 0.000 0.308
2 Se 0.500 0.000 0.891
3 Se 0.000 0.500 0.692
4 Se 0.000 0.500 0.109
5 Te 0.000 0.500 0.878
6 Te 0.500 0.000 0.122
7 O 0.000 0.000 0.500
8 O 0.500 0.500 0.500
9 Pm 0.000 0.500 0.417
10 Pm 0.500 0.000 0.583